[1]
Below is crystalline TiZnAu2 at its relaxed geometry, with properties calculated at the GGA-PBE level.

Properties
**Calculated total energy**: -17.02 eV/cell

```
data_TiZnAu2
_cell_length_a 3.0903
_cell_length_b 3.0903
_cell_length_c 7.0313
_cell_angle_alpha 90.00
_cell_angle_beta 90.00
_cell_angle_gamma 90.00
_space_group_name_H-M_alt 'P 4/m m m'
_space_group_IT_number 123
_space_group_name_Hall '-P 4 2'
loop_
_atom_site_label
_atom_site_fract_x
_atom_site_fract_y
_atom_site_fract_z
Ti1 0.0000 0.0000 0.0000
Zn1 0.0000 0.0000 0.5000
Au1 0.5000 0.5000 0.2563
```

=====

[2]
Below is crystalline Fe2H2I at its relaxed geometry, with properties calculated at the GGA-PBE level.

Properties
**Calculated total energy**: -47.84 eV/cell

```
data_Fe2H2I
_cell_length_a 3.4536
_cell_length_b 3.4536
_cell_length_c 12.3408
_cell_angle_alpha 90.00
_cell_angle_beta 90.00
_cell_angle_gamma 90.00
_space_group_name_H-M_alt 'I 4/m m m'
_space_group_IT_number 139
_space_group_name_Hall '-I 4 2'
loop_
_atom_site_label
_atom_site_fract_x
_atom_site_fract_y
_atom_site_fract_z
Fe1 0.0000 0.0000 0.2147
H1 0.0000 0.5000 0.2500
I1 0.0000 0.0000 0.0000
```

=====

Q: Which formula does entry 2 have?
A: Fe2H2I

=====

What did the second record say?
Below is crystalline Fe2H2I at its relaxed geometry, with properties calculated at the GGA-PBE level.

Properties
**Calculated total energy**: -47.84 eV/cell

```
data_Fe2H2I
_cell_length_a 3.4536
_cell_length_b 3.4536
_cell_length_c 12.3408
_cell_angle_alpha 90.00
_cell_angle_beta 90.00
_cell_angle_gamma 90.00
_space_group_name_H-M_alt 'I 4/m m m'
_space_group_IT_number 139
_space_group_name_Hall '-I 4 2'
loop_
_atom_site_label
_atom_site_fract_x
_atom_site_fract_y
_atom_site_fract_z
Fe1 0.0000 0.0000 0.2147
H1 0.0000 0.5000 0.2500
I1 0.0000 0.0000 0.0000
```